First-principles (GGA+U) data for crystalline Ba4Ta3CrO12 at its relaxed geometry, as listed in the Alexandria database.

abc: 8.2590 8.2590 8.2590
angles: 90.00 90.00 90.00
With the nearest neighbours (Å) after each atom.
Space group Im-3m (No. 229)
Unique sites:
Ba 0.2500 0.2500 0.2500 [8 per cell]  12 O 2.92
Ta 0.0000 0.0000 0.5000 [6 per cell]  6 O 2.00-2.06
Cr 0.0000 0.0000 0.0000 [2 per cell]  6 O 2.13
O 0.0000 0.0000 0.2581 [12 per cell]  1 Ta 2.00, 1 Cr 2.13
O 0.0000 0.2500 0.5000 [12 per cell]  2 Ta 2.06

Computed properties:
Spin magnetization = 2.1 μB per formula unit
V = 14.08 Å³ per atom
Total DFT energy (no corrections) = -8.307 eV/atom